This record from the Alexandria database describes a relaxed KNi2AgF8 crystal. The functional is PBE+U.

a b c (Å): 5.1222 5.0425 6.5378
angles (deg): 89.12 89.23 88.85
Site moments in Bohr magnetons follow the coordinates.
Fractional positions:
F  0.2157  0.7632  0.7859  -0.13
F  0.6797  0.7019  0.9982  -0.11
F  0.7893  0.2419  0.7849  -0.13
F  0.6491  0.6785  0.4962  0.01
F  0.3509  0.3215  0.5038  0.01
F  0.7843  0.2368  0.2141  -0.13
F  0.3203  0.2981  0.0018  -0.11
F  0.2107  0.7581  0.2151  -0.13
Ni  0.4996  0.4998  0.2485  1.75
Ni  0.5004  0.5002  0.7515  1.75
K  0.0000  0.0000  0.5000  0.00
Ag  0.0000  0.0000  0.0000  -0.78

## Properties
- Total energy: -0.28160 Ry/atom
- Crystal system: triclinic
- Space group: No. 2